[1]
! Sr6LiAu2, relaxed, DFT GGA-PBE; values from VASP
! Space-group type: Immm, No. 71
! DFT total energy, eV/cell: -44.0
! Size of the total moment, μB per atom: 0.000
! DOS(E_F), states/eV/f.u.: 5.689
&SYSTEM
  ibrav = 0, nat = 18, ntyp = 3
/
ATOMIC_SPECIES
Sr 87.62 Sr.upf
Li 6.94 Li.upf
Au 196.97 Au.upf
ATOMIC_POSITIONS crystal
Sr 0.532 0.710 0.822
Sr 0.468 0.290 0.178
Sr 0.112 0.290 0.822
Sr 0.888 0.710 0.178
Sr 0.804 0.757 0.561
Sr 0.196 0.243 0.439
Sr 0.196 0.757 0.954
Sr 0.804 0.243 0.046
Sr 0.683 0.345 0.662
Sr 0.317 0.655 0.338
Sr 0.317 0.980 0.662
Sr 0.683 0.020 0.338
Li 0.000 0.500 0.500
Li 0.000 0.000 0.000
Au 0.500 0.371 0.871
Au 0.500 0.629 0.129
Au 0.691 0.000 0.691
Au 0.309 0.000 0.309
CELL_PARAMETERS angstrom
-0.019 0.794 -9.690
7.585 -4.947 3.539
-7.639 -5.105 3.181


[2]
! Li6Zn3Cd, relaxed, DFT GGA-PBE; values from VASP
! Space-group type: P2_1/m, No. 11
! DFT total energy, eV/cell: -35.5
! Size of the total moment, μB per atom: 0.000
! DOS(E_F), states/eV/f.u.: 3.100
&SYSTEM
  ibrav = 0, nat = 20, ntyp = 3
/
ATOMIC_SPECIES
Li 6.94 Li.upf
Zn 65.41 Zn.upf
Cd 112.41 Cd.upf
ATOMIC_POSITIONS crystal
Li 0.250 0.481 0.065
Li 0.750 0.519 0.935
Li 0.250 0.180 0.163
Li 0.750 0.820 0.837
Li 0.250 0.668 0.663
Li 0.750 0.332 0.337
Li 0.250 0.288 0.478
Li 0.750 0.712 0.522
Li 0.250 0.860 0.261
Li 0.750 0.140 0.739
Li 0.250 0.088 0.874
Li 0.750 0.912 0.126
Zn 0.250 0.572 0.358
Zn 0.750 0.428 0.642
Zn 0.250 0.400 0.773
Zn 0.750 0.600 0.227
Zn 0.250 0.776 0.965
Zn 0.750 0.224 0.035
Cd 0.250 0.978 0.581
Cd 0.750 0.022 0.419
CELL_PARAMETERS angstrom
4.613 0.000 0.000
0.000 6.737 -2.963
0.000 -0.258 10.661